No. 1
Computed, not measured: a PBEsol-optimized structure of YTe3Cl at the SCAN level of DFT.

The structure belongs to space group Pm-3m (No. 221); the cell edges are 5.274, 5.274 and 5.274 Å and the angles 90.00°, 90.00° and 90.00°. Symmetry generates all atoms from Y at (0.000, 0.000, 0.000), Te at (0.000, 0.500, 0.500) and Cl at (0.500, 0.500, 0.500).

The calculation puts the energy relative to the elements, uncorrected at -0.012 eV/atom. For the volume, the calculation gives 29.34 Å³ per atom. The value obtained for the energy is -29.5269 eV per atom.

No. 2
Computed, not measured: a PBEsol-optimized structure of Bi2TeH at the SCAN level of DFT.

The structure belongs to space group I-42d (No. 122); the cell edges are 7.645, 7.645 and 6.380 Å and the angles 90.00°, 90.00° and 90.00°. Symmetry generates all atoms from Bi at (0.162, 0.750, 0.125), Te at (0.000, 0.000, 0.500) and H at (0.000, 0.000, 0.000).

For the volume, the calculation gives 23.30 Å³ per atom. The value obtained for the energy is -49.1022 eV per atom.

No. 3
Computed, not measured: a PBEsol-optimized structure of Be2SiAu at the SCAN level of DFT.

The structure belongs to space group R-3m (No. 166, hexagonal axes); the cell edges are 2.7737, 2.7737 and 22.2565 Å and the angles 90.00°, 90.00° and 120.00°. Symmetry generates all atoms from Be at (0.0000, 0.0000, 0.2473), Si at (0.0000, 0.0000, 0.5000) and Au at (0.0000, 0.0000, 0.0000).

The calculation puts the energy relative to the elements, uncorrected at 0.148 eV/atom. For the volume, the calculation gives 12.36 Å³ per atom. The value obtained for the energy is -21.8222 eV per atom.

No. 4
Computed, not measured: a PBEsol-optimized structure of SrCrIr2 at the SCAN level of DFT.

The structure belongs to space group Pmmm (No. 47); the cell edges are 2.961, 4.730 and 4.846 Å and the angles 90.00°, 90.00° and 90.00°. Symmetry generates all atoms from Sr at (0.000, 0.000, 0.000), Cr at (0.500, 0.000, 0.500), Ir at (0.000, 0.500, 0.500) and Ir at (0.500, 0.500, 0.000).

For the volume, the calculation gives 16.97 Å³ per atom. The value obtained for the energy is -45.2181 eV per atom. The formation enthalpy at 0 K is 11.45 kcal/mol of atoms.

No. 5
Computed, not measured: a PBEsol-optimized structure of PrAl8Cu4 at the SCAN level of DFT.

The structure belongs to space group I4/mmm (No. 139); the cell edges are 8.775, 8.775 and 5.129 Å and the angles 90.00°, 90.00° and 90.00°. Symmetry generates all atoms from Pr at (0.000, 0.000, 0.000), Al at (0.000, 0.221, 0.500), Al at (0.000, 0.348, 0.000) and Cu at (0.250, 0.250, 0.250).

For the volume, the calculation gives 15.19 Å³ per atom. The value obtained for the energy is -13.1645 eV per atom. The formation enthalpy at 0 K is -8.87 kcal/mol of atoms.

No. 6
Computed, not measured: a PBEsol-optimized structure of ReNi2Os at the SCAN level of DFT.

The structure belongs to space group Cmmm (No. 65); the cell edges are 5.156, 7.402 and 2.595 Å and the angles 90.00°, 90.00° and 90.00°. Symmetry generates all atoms from Re at (0.000, 0.000, 0.000), Ni at (0.250, 0.250, 0.500) and Os at (0.000, 0.500, 0.000).

For the volume, the calculation gives 12.38 Å³ per atom. The value obtained for the energy is -43.6617 eV per atom. The formation enthalpy at 0 K is 3.91 kcal/mol of atoms.

No. 7
Computed, not measured: a PBEsol-optimized structure of CdPW at the SCAN level of DFT.

The structure belongs to space group F-43m (No. 216); the cell edges are 6.230, 6.230 and 6.230 Å and the angles 90.00°, 90.00° and 90.00°. Symmetry generates all atoms from Cd at (0.000, 0.000, 0.000), P at (0.250, 0.250, 0.750) and W at (0.250, 0.250, 0.250).

For the volume, the calculation gives 20.15 Å³ per atom. The value obtained for the energy is -34.9327 eV per atom. The formation enthalpy at 0 K is 43.84 kcal/mol of atoms.

No. 8
Computed, not measured: a PBEsol-optimized structure of AgAsP2Os at the SCAN level of DFT.

The structure belongs to space group P4/mmm (No. 123); the cell edges are 4.400, 4.400 and 5.231 Å and the angles 90.00°, 90.00° and 90.00°. Symmetry generates all atoms from Ag at (0.000, 0.000, 0.000), As at (0.500, 0.500, 0.000), P at (0.000, 0.500, 0.500) and Os at (0.000, 0.000, 0.500).

For the volume, the calculation gives 20.26 Å³ per atom. The value obtained for the energy is -28.0637 eV per atom. The formation enthalpy at 0 K is 18.06 kcal/mol of atoms.

No. 9
Computed, not measured: a PBEsol-optimized structure of HoAlGe at the SCAN level of DFT.

The structure belongs to space group Cmcm (No. 63); the cell edges are 4.015, 10.231 and 5.686 Å and the angles 90.00°, 90.00° and 90.00°. Symmetry generates all atoms from Ho at (0.000, 0.191, 0.250), Al at (0.000, 0.500, 0.000) and Ge at (0.000, 0.106, 0.750).

For the volume, the calculation gives 19.47 Å³ per atom. The value obtained for the energy is -25.9859 eV per atom. The formation enthalpy at 0 K is -16.38 kcal/mol of atoms.

No. 10
Computed, not measured: a PBEsol-optimized structure of TlCIO2 at the SCAN level of DFT.

The structure belongs to space group P4/mmm (No. 123); the cell edges are 3.983, 3.983 and 7.154 Å and the angles 90.00°, 90.00° and 90.00°. Symmetry generates all atoms from Tl at (0.000, 0.000, 0.000), C at (0.500, 0.500, 0.500), I at (0.000, 0.000, 0.500) and O at (0.000, 0.500, 0.000).

The calculation puts the energy relative to the elements, uncorrected at 1.403 eV/atom. For the volume, the calculation gives 22.70 Å³ per atom. The value obtained for the energy is -24.9291 eV per atom.

No. 11
Computed, not measured: a PBEsol-optimized structure of ScCuAg2 at the SCAN level of DFT.

The structure belongs to space group I-4m2 (No. 119); the cell edges are 4.066, 4.066 and 7.867 Å and the angles 90.00°, 90.00° and 90.00°. Symmetry generates all atoms from Sc at (0.000, 0.000, 0.000), Cu at (0.000, 0.500, 0.750), Ag at (0.000, 0.000, 0.500) and Ag at (0.000, 0.500, 0.250).

For the volume, the calculation gives 16.26 Å³ per atom. The value obtained for the energy is -23.2149 eV per atom. The formation enthalpy at 0 K is -3.97 kcal/mol of atoms.

No. 12
Computed, not measured: a PBEsol-optimized structure of FeHg2Rh at the SCAN level of DFT.

The structure belongs to space group Pmmm (No. 47); the cell edges are 2.978, 3.707 and 5.826 Å and the angles 90.00°, 90.00° and 90.00°. Symmetry generates all atoms from Fe at (0.000, 0.000, 0.000), Hg at (0.500, 0.500, 0.247) and Rh at (0.000, 0.000, 0.500).

For the volume, the calculation gives 16.08 Å³ per atom. The value obtained for the energy is -46.8019 eV per atom. The formation enthalpy at 0 K is 5.91 kcal/mol of atoms.

No. 13
Computed, not measured: a PBEsol-optimized structure of Li2SbS2 at the SCAN level of DFT.

The structure belongs to space group P4/mbm (No. 127); the cell edges are 7.216, 7.216 and 3.446 Å and the angles 90.00°, 90.00° and 90.00°. Symmetry generates all atoms from Li at (0.136, 0.364, 0.000), Sb at (0.000, 0.000, 0.500) and S at (0.173, 0.673, 0.500).

The calculation puts the energy relative to the elements, uncorrected at -0.794 eV/atom. For the volume, the calculation gives 17.94 Å³ per atom. The value obtained for the energy is -13.0532 eV per atom.

No. 14
Computed, not measured: a PBEsol-optimized structure of Ba4Ga2S7 at the SCAN level of DFT.

The structure belongs to space group P2_1/m (No. 11); the cell edges are 8.963, 7.037 and 11.808 Å and the angles 90.00°, 108.82° and 90.00°. Symmetry generates all atoms from Ba at (0.010, 0.250, 0.388), Ba at (0.076, 0.250, 0.933), Ba at (0.373, 0.750, 0.391), Ba at (0.466, 0.750, 0.819), Ga at (0.265, 0.250, 0.689), Ga at (0.313, 0.750, 0.081), S at (0.005, 0.250, 0.656), S at (0.159, 0.750, 0.888), S at (0.241, 0.007, 0.167), S at (0.312, 0.503, 0.589) and S at (0.416, 0.250, 0.890).

The calculation puts the energy relative to the elements, uncorrected at -1.838 eV/atom. For the volume, the calculation gives 27.11 Å³ per atom. The value obtained for the energy is -21.7068 eV per atom.

No. 15
Computed, not measured: a PBEsol-optimized structure of K2AlCd at the SCAN level of DFT.

The structure belongs to space group Pmm2 (No. 25); the cell edges are 3.707, 3.916 and 10.066 Å and the angles 90.00°, 90.00° and 90.00°. Symmetry generates all atoms from K at (0.000, 0.000, 0.000), K at (0.500, 0.500, 0.399), Al at (0.000, 0.000, 0.648) and Cd at (0.500, 0.500, 0.747).

For the volume, the calculation gives 36.54 Å³ per atom. The value obtained for the energy is -13.5756 eV per atom. The formation enthalpy at 0 K is 3.01 kcal/mol of atoms.

No. 16
Computed, not measured: a PBEsol-optimized structure of TeCl3 at the SCAN level of DFT.

The structure belongs to space group P4/mmm (No. 123); the cell edges are 3.700, 3.700 and 6.093 Å and the angles 90.00°, 90.00° and 90.00°. Symmetry generates all atoms from Te at (0.000, 0.000, 0.000), Cl at (0.000, 0.000, 0.500) and Cl at (0.500, 0.500, 0.233).

The calculation puts the energy relative to the elements, uncorrected at 0.237 eV/atom. For the volume, the calculation gives 20.85 Å³ per atom. The value obtained for the energy is -15.0588 eV per atom.

No. 17
Computed, not measured: a PBEsol-optimized structure of KZnPb2 at the SCAN level of DFT.

The structure belongs to space group R3m (No. 160, hexagonal axes); the cell edges are 3.5924, 3.5924 and 31.5540 Å and the angles 90.00°, 90.00° and 120.00°. Symmetry generates all atoms from K at (0.0000, 0.0000, 0.0000), Zn at (0.0000, 0.0000, 0.2500), Pb at (0.0000, 0.0000, 0.5116) and Pb at (0.0000, 0.0000, 0.7632).

For the volume, the calculation gives 29.39 Å³ per atom. The value obtained for the energy is -43.2012 eV per atom. The formation enthalpy at 0 K is 3.47 kcal/mol of atoms.

No. 18
Computed, not measured: a PBEsol-optimized structure of Mg2Cd2Pb at the SCAN level of DFT.

The structure belongs to space group I4/mmm (No. 139); the cell edges are 4.300, 4.300 and 13.247 Å and the angles 90.00°, 90.00° and 90.00°. Symmetry generates all atoms from Mg at (0.000, 0.500, 0.250), Cd at (0.000, 0.000, 0.104) and Pb at (0.000, 0.000, 0.500).

For the volume, the calculation gives 24.49 Å³ per atom. The value obtained for the energy is -29.2759 eV per atom. The formation enthalpy at 0 K is 0.82 kcal/mol of atoms.

No. 19
Computed, not measured: a PBEsol-optimized structure of SrPtCl2 at the SCAN level of DFT.

The structure belongs to space group P4mm (No. 99); the cell edges are 4.015, 4.015 and 5.743 Å and the angles 90.00°, 90.00° and 90.00°. Symmetry generates all atoms from Sr at (0.000, 0.000, 0.000), Pt at (0.500, 0.500, 0.754), Cl at (0.000, 0.000, 0.516) and Cl at (0.500, 0.500, 0.147).

The calculation puts the energy relative to the elements, uncorrected at -1.114 eV/atom. For the volume, the calculation gives 23.15 Å³ per atom. The value obtained for the energy is -28.2204 eV per atom.

No. 20
Computed, not measured: a PBEsol-optimized structure of SrHg2Pb2 at the SCAN level of DFT.

The structure belongs to space group I4/mmm (No. 139); the cell edges are 4.802, 4.802 and 12.846 Å and the angles 90.00°, 90.00° and 90.00°. Symmetry generates all atoms from Sr at (0.000, 0.000, 0.000), Hg at (0.000, 0.000, 0.394) and Pb at (0.000, 0.500, 0.250).

For the volume, the calculation gives 29.62 Å³ per atom. The value obtained for the energy is -62.4152 eV per atom. The formation enthalpy at 0 K is -8.79 kcal/mol of atoms.